Compound: Cs2AcMg2Se4
Source: the Alexandria database
Functional: PBE
Structure: relaxed

a b c (Å): 8.8516 8.8516 8.8098
angles (deg): 109.20 109.20 28.91
Fractional coordinates of all 9 atoms:
Cs 0.1265 0.1265 0.0424
Cs 0.8735 0.8735 0.9576
Ac 0.0000 0.0000 0.5000
Mg 0.3250 0.3250 0.5236
Mg 0.6750 0.6750 0.4764
Se 0.2029 0.2029 0.6533
Se 0.4711 0.4711 0.7352
Se 0.5289 0.5289 0.2648
Se 0.7971 0.7971 0.3467

Results
- symmetry = C2/m
- final energy (eV per atom) = -3.89
- E_form (uncorrected) (kJ/mol of formula units) = -1163